(1)
Compound: SmDyAlZn
Source: Alexandria via LeMat-Bulk
Functional: PBE
Structure: optimized geometry

Cell lengths 5.138, 5.138, 5.138 Å; angles 60.00, 60.00, 60.00 degrees
Positions (direct):
Sm1 0.250 0.250 0.250
Al1 0.500 0.500 0.500
Dy1 0.750 0.750 0.750
Zn1 0.000 0.000 0.000

The calculation puts the spin magnetization at 0.0 μB per cell. Its total energy is -0.1449 Ha/atom. For the formation enthalpy at 0 K, the calculation gives -1.44 eV per formula unit. The density of states at the Fermi level comes out at 0.800 states/eV per atom.

***

(2)
Compound: SrCd4Au8
Source: Alexandria via LeMat-Bulk
Functional: PBE
Structure: optimized geometry

Cell lengths 5.827, 7.417, 7.417 Å; angles 81.12, 66.87, 66.87 degrees
Positions (direct):
Au1 0.714 0.786 0.786
Au2 0.500 0.214 0.786
Au3 0.000 0.654 0.346
Au4 0.654 0.346 0.346
Au5 0.500 0.786 0.214
Au6 0.000 0.346 0.654
Au7 0.346 0.654 0.654
Au8 0.286 0.214 0.214
Cd1 0.000 0.500 0.000
Cd2 0.000 0.000 0.500
Cd3 0.500 0.500 0.000
Cd4 0.500 0.000 0.500
Sr1 0.000 0.000 0.000

The calculation puts the spin magnetization at 0.0 μB per cell. Its total energy is -0.0984 Ha/atom. For the formation enthalpy at 0 K, the calculation gives -3.26 eV per formula unit. The density of states at the Fermi level comes out at 0.284 states/eV per atom.

***

(3)
Compound: YCu3Tc
Source: Alexandria via LeMat-Bulk
Functional: PBE
Structure: optimized geometry

Cell lengths 4.627, 4.627, 4.627 Å; angles 90.00, 90.00, 90.00 degrees
Positions (direct):
Y1 0.500 0.500 0.500
Tc1 0.000 0.000 0.000
Cu1 0.500 0.000 0.000
Cu2 0.000 0.000 0.500
Cu3 0.000 0.500 0.000

The calculation puts the spin magnetization at 0.0 μB per cell. Its total energy is -0.1910 Ha/atom. For the formation enthalpy at 0 K, the calculation gives 3.13 eV per formula unit. The density of states at the Fermi level comes out at 0.913 states/eV per atom.